Entry 1:
{
  "formula": "AcNiB4",
  "functional": "GGA-PBE",
  "state": "optimized geometry",
  "spacegroup": "P6/mmm (191)",
  "lattice_angstrom": [[3.256, 0.000, 0.000], [-1.628, 2.820, 0.000], [0.000, 0.000, 7.075]],
  "species": ["Ac", "B", "B", "Ni", "B", "B"],
  "frac_coords": [[0.000, 0.000, 0.000], [0.333, 0.667, 0.681], [0.667, 0.333, 0.319], [0.000, 0.000, 0.500], [0.667, 0.333, 0.681], [0.333, 0.667, 0.319]]
}


Entry 2:
{
  "formula": "AcNiB",
  "functional": "GGA-PBE",
  "state": "optimized geometry",
  "spacegroup": "F-43m (216)",
  "lattice_angstrom": [[0.311, -4.622, -0.557], [-0.164, -2.815, 3.718], [-3.740, -2.694, 0.724]],
  "species": ["B", "Ni", "Ac"],
  "frac_coords": [[0.250, 0.250, 0.250], [0.750, 0.750, 0.750], [0.000, 0.000, 0.000]]
}


Entry 3:
{
  "formula": "AcNiB4",
  "functional": "GGA-PBE",
  "state": "optimized geometry",
  "spacegroup": "Immm (71)",
  "lattice_angstrom": [[-1.586, 2.637, 4.394], [1.586, -2.637, 4.394], [1.586, 2.637, -4.394]],
  "species": ["Ni", "Ac", "B", "B", "B", "B"],
  "frac_coords": [[0.500, 0.500, 0.000], [0.000, 0.000, 0.000], [0.924, 0.253, 0.671], [0.582, 0.253, 0.329], [0.418, 0.747, 0.671], [0.076, 0.747, 0.329]]
}


Entry 4:
{
  "formula": "AcNpB",
  "functional": "GGA-PBE",
  "state": "optimized geometry",
  "spacegroup": "F-43m (216)",
  "lattice_angstrom": [[-0.114, 1.074, 4.641], [-4.170, 0.830, 2.152], [-1.733, -3.146, 3.132]],
  "species": ["B", "Np", "Ac"],
  "frac_coords": [[0.250, 0.250, 0.250], [0.750, 0.750, 0.750], [0.000, 0.000, 0.000]]
}


Entry 5:
{
  "formula": "AcNpB",
  "functional": "GGA-PBE",
  "state": "optimized geometry",
  "spacegroup": "F-43m (216)",
  "lattice_angstrom": [[1.156, 1.938, 4.089], [-1.760, -1.708, 3.975], [2.764, -2.304, 2.978]],
  "species": ["Np", "B", "Ac"],
  "frac_coords": [[0.750, 0.750, 0.750], [0.000, 0.000, 0.000], [0.250, 0.250, 0.250]]
}


Entry 6:
{
  "formula": "AcBPd",
  "functional": "GGA-PBE",
  "state": "optimized geometry",
  "spacegroup": "F-43m (216)",
  "lattice_angstrom": [[-2.812, 1.498, 3.388], [-2.826, 3.617, -0.752], [-4.592, -0.665, -0.325]],
  "species": ["Ac", "Pd", "B"],
  "frac_coords": [[0.000, 0.000, 0.000], [0.750, 0.750, 0.750], [0.500, 0.500, 0.500]]
}


Entry 7:
{
  "formula": "AcBPd",
  "functional": "GGA-PBE",
  "state": "optimized geometry",
  "spacegroup": "F-43m (216)",
  "lattice_angstrom": [[-1.663, -2.982, 2.971], [-3.250, 1.256, 2.888], [-4.209, -1.586, -0.501]],
  "species": ["Pd", "Ac", "B"],
  "frac_coords": [[0.750, 0.750, 0.750], [0.250, 0.250, 0.250], [0.000, 0.000, 0.000]]
}


Entry 8:
{
  "formula": "AcBPd",
  "functional": "GGA-PBE",
  "state": "optimized geometry",
  "spacegroup": "F-43m (216)",
  "lattice_angstrom": [[0.000, 3.391, 3.391], [3.391, 0.000, 3.391], [3.391, 3.391, 0.000]],
  "species": ["Ac", "B", "Pd"],
  "frac_coords": [[0.000, 0.000, 0.000], [0.250, 0.250, 0.250], [0.750, 0.750, 0.750]]
}


Entry 9:
{
  "formula": "AcPmB4",
  "functional": "GGA-PBE",
  "state": "optimized geometry",
  "spacegroup": "P6/mmm (191)",
  "lattice_angstrom": [[3.368, 0.000, 0.000], [-1.684, 2.917, 0.000], [0.000, 0.000, 8.554]],
  "species": ["Pm", "B", "B", "B", "B", "Ac"],
  "frac_coords": [[0.000, 0.000, 0.500], [0.667, 0.333, 0.266], [0.333, 0.667, 0.734], [0.667, 0.333, 0.734], [0.333, 0.667, 0.266], [0.000, 0.000, 0.000]]
}


Entry 10:
{
  "formula": "AcPmB",
  "functional": "GGA-PBE",
  "state": "optimized geometry",
  "spacegroup": "F-43m (216)",
  "lattice_angstrom": [[-0.918, -4.656, -0.838], [-2.407, -2.606, 3.262], [-4.507, -1.440, -0.916]],
  "species": ["Pm", "B", "Ac"],
  "frac_coords": [[0.750, 0.750, 0.750], [0.000, 0.000, 0.000], [0.250, 0.250, 0.250]]
}


Entry 11:
{
  "formula": "AcPmB4",
  "functional": "GGA-PBE",
  "state": "optimized geometry",
  "spacegroup": "Immm (71)",
  "lattice_angstrom": [[-1.699, 2.887, 4.290], [1.699, -2.887, 4.290], [1.699, 2.887, -4.290]],
  "species": ["B", "B", "B", "B", "Ac", "Pm"],
  "frac_coords": [[0.585, 0.249, 0.336], [0.415, 0.751, 0.664], [0.087, 0.751, 0.336], [0.913, 0.249, 0.664], [0.000, 0.000, 0.000], [0.500, 0.500, 0.000]]
}


Entry 12:
{
  "formula": "AcB2Pt6",
  "functional": "GGA-PBE",
  "state": "optimized geometry",
  "spacegroup": "Fd-3m (227)",
  "lattice_angstrom": [[6.906, 1.659, 2.876], [0.620, 4.747, 5.983], [2.050, -2.729, 6.860]],
  "species": ["Pt", "B", "Pt", "Ac", "Pt", "Pt", "Pt", "Pt", "B", "B", "Pt", "Pt", "Ac", "Pt", "Pt", "B", "Pt", "Pt"],
  "frac_coords": [[0.210, 0.210, 0.790], [0.125, 0.125, 0.625], [0.210, 0.790, 0.210], [0.750, 0.750, 0.750], [0.460, 0.040, 0.460], [0.790, 0.210, 0.210], [0.040, 0.460, 0.460], [0.040, 0.040, 0.460], [0.125, 0.125, 0.125], [0.625, 0.125, 0.125], [0.210, 0.790, 0.790], [0.790, 0.790, 0.210], [0.500, 0.500, 0.500], [0.460, 0.040, 0.040], [0.040, 0.460, 0.040], [0.125, 0.625, 0.125], [0.790, 0.210, 0.790], [0.460, 0.460, 0.040]]
}


Entry 13:
{
  "formula": "AcBPt",
  "functional": "GGA-PBE",
  "state": "optimized geometry",
  "spacegroup": "F-43m (216)",
  "lattice_angstrom": [[-4.461, -0.388, -0.540], [-2.687, 3.525, 0.833], [-2.052, 2.125, -3.408]],
  "species": ["Ac", "B", "Pt"],
  "frac_coords": [[0.250, 0.250, 0.250], [0.000, 0.000, 0.000], [0.750, 0.750, 0.750]]
}


Entry 14:
{
  "formula": "AcBPt",
  "functional": "GGA-PBE",
  "state": "optimized geometry",
  "spacegroup": "F-43m (216)",
  "lattice_angstrom": [[-1.078, -4.351, 1.381], [-3.921, -2.051, -1.557], [0.265, -3.560, -3.043]],
  "species": ["Pt", "Ac", "B"],
  "frac_coords": [[0.000, 0.000, 0.000], [0.250, 0.250, 0.250], [0.750, 0.750, 0.750]]
}


Entry 15:
{
  "formula": "AcBPt",
  "functional": "GGA-PBE",
  "state": "optimized geometry",
  "spacegroup": "F-43m (216)",
  "lattice_angstrom": [[0.000, 3.406, 3.406], [3.406, 0.000, 3.406], [3.406, 3.406, 0.000]],
  "species": ["Pt", "B", "Ac"],
  "frac_coords": [[0.750, 0.750, 0.750], [0.250, 0.250, 0.250], [0.000, 0.000, 0.000]]
}


Entry 16:
{
  "formula": "AcPuB",
  "functional": "GGA-PBE",
  "state": "optimized geometry",
  "spacegroup": "F-43m (216)",
  "lattice_angstrom": [[4.623, 1.146, 0.400], [1.429, 3.007, 3.429], [2.555, -1.630, 3.696]],
  "species": ["B", "Ac", "Pu"],
  "frac_coords": [[0.250, 0.250, 0.250], [0.000, 0.000, 0.000], [0.750, 0.750, 0.750]]
}


Entry 17:
{
  "formula": "AcPuB",
  "functional": "GGA-PBE",
  "state": "optimized geometry",
  "spacegroup": "F-43m (216)",
  "lattice_angstrom": [[0.000, 3.343, 3.343], [3.343, 0.000, 3.343], [3.343, 3.343, 0.000]],
  "species": ["B", "Pu", "Ac"],
  "frac_coords": [[0.000, 0.000, 0.000], [0.750, 0.750, 0.750], [0.250, 0.250, 0.250]]
}


Entry 18:
{
  "formula": "AcSmB",
  "functional": "GGA-PBE",
  "state": "optimized geometry",
  "spacegroup": "F-43m (216)",
  "lattice_angstrom": [[3.317, 0.433, 3.455], [-1.357, 0.567, 4.579], [0.658, -3.563, 3.162]],
  "species": ["B", "Sm", "Ac"],
  "frac_coords": [[0.000, 0.000, 0.000], [0.750, 0.750, 0.750], [0.250, 0.250, 0.250]]
}


Entry 19:
{
  "formula": "AcTaB4",
  "functional": "GGA-PBE",
  "state": "optimized geometry",
  "spacegroup": "Immm (71)",
  "lattice_angstrom": [[-1.620, 2.857, 3.986], [1.620, -2.857, 3.986], [1.620, 2.857, -3.986]],
  "species": ["Ac", "Ta", "B", "B", "B", "B"],
  "frac_coords": [[0.000, 0.000, 0.000], [0.500, 0.500, 0.000], [0.581, 0.241, 0.340], [0.419, 0.759, 0.660], [0.098, 0.759, 0.340], [0.902, 0.241, 0.660]]
}


Entry 20:
{
  "formula": "AcTaB4",
  "functional": "GGA-PBE",
  "state": "optimized geometry",
  "spacegroup": "P6/mmm (191)",
  "lattice_angstrom": [[-0.164, 2.575, -1.894], [-0.263, -2.931, -1.258], [-7.871, 0.261, 1.037]],
  "species": ["Ta", "B", "B", "B", "B", "Ac"],
  "frac_coords": [[0.000, 0.000, 0.500], [0.667, 0.333, 0.294], [0.333, 0.667, 0.706], [0.333, 0.667, 0.294], [0.667, 0.333, 0.706], [0.000, 0.000, 0.000]]
}


Per-record total magnetization, μB per cell: 0.01, 0.00, 0.00, 5.00, 4.56, 0.44, 0.01, 0.01, 0.02, 0.05, 0.01, 0.00, 0.00, 0.26, 0.00, 6.02, 5.94, 0.10, 0.00, 0.00
Per-record VASP energy, eV per atom: -5.987, -4.314, -5.759, -6.281, -7.176, -4.878, -5.159, -4.510, -6.067, -4.881, -6.034, -6.564, -5.534, -5.263, -4.879, -7.104, -7.932, -4.869, -7.075, -7.500